A plane-wave DFT calculation with PBE-GGA was carried out for TePRuI2 after structural relaxation.

Cell: 5.3589 5.3589 5.0805 Å, 90.00 90.00 90.00°
Element x y z (fractional)
I 0.0000 0.5000 0.0000
I 0.5000 0.0000 0.0000
Ru 0.0000 0.0000 0.0000
Te 0.0000 0.0000 0.5000
P 0.5000 0.5000 0.5000

Results
- energy above the most stable polymorph in this dataset (eV/atom) = 0.000
- calculated volume (Å³ per atom) = 29.2
- symmetry = P4/mmm (123)
- formation energy (no corrections) (eV per atom) = 0.875

A plane-wave DFT calculation with PBE-GGA was carried out for Al2AsRu after structural relaxation.

Cell: 4.5455 4.5455 4.7053 Å, 76.48 76.48 40.99°
Element x y z (fractional)
Al 0.0087 0.0087 0.9761
Al 0.4913 0.4913 0.5239
Ru 0.7500 0.7500 0.7500
As 0.2500 0.2500 0.2500

Results
- calculated volume (Å³ per atom) = 15.4
- symmetry = C2/m (12)
- E (eV per formula unit) = -22.08

A plane-wave DFT calculation with PBE-GGA was carried out for PrMgPd5 after structural relaxation.

Cell: 4.2298 4.2298 7.3018 Å, 90.00 90.00 90.00°
Element x y z (fractional)
Pd 0.5000 0.0000 0.2151
Pd 0.5000 0.0000 0.7849
Pd 0.0000 0.5000 0.2151
Pd 0.5000 0.5000 0.5000
Pd 0.0000 0.5000 0.7849
Mg 0.5000 0.5000 0.0000
Pr 0.0000 0.0000 0.5000

Results
- calculated volume (Å³ per atom) = 18.7
- symmetry = P4/mmm (123)
- E (eV per formula unit) = -35.79

no.,DOS at the Fermi energy (states/eV per cell)
1,5.19
2,2.28
3,3.25